! PuBe2I8 GGA-PBE optimized geometry; values from VASP
&SYSTEM
  ibrav = 0, nat = 11, ntyp = 3
/
ATOMIC_SPECIES
Pu 244.00 Pu.upf
Be 9.01 Be.upf
I 126.90 I.upf
ATOMIC_POSITIONS crystal
Pu 0.000 0.000 0.000
Be 0.194 0.194 0.661
Be 0.806 0.806 0.339
I 0.080 0.712 0.241
I 0.186 0.186 0.298
I 0.288 0.920 0.759
I 0.364 0.364 0.769
I 0.636 0.636 0.231
I 0.712 0.080 0.241
I 0.814 0.814 0.702
I 0.920 0.288 0.759
CELL_PARAMETERS angstrom
6.708 -5.401 0.000
6.708 5.401 0.000
-0.793 0.000 6.852
! density of states at the Fermi level = 14.97 states/eV/f.u.
! total DFT energy (no corrections) = -3.75 eV per atom
! E_form (uncorrected) = -7.03 eV per formula unit